# 1
10
Lattice="9.438 -2.123 0.000 9.438 2.123 0.000 -1.723 0.000 8.756" Properties=species:S:1:pos:R:3 comment="ErTh5Bi4 (PBE, relaxed)" delta_e_f_ev_per_atom=-0.22 space_group="C2/m (12)" pbc="T T T"
Er 0.000 0.000 0.000
Th -0.861 0.000 4.378
Th 4.808 0.000 5.608
Th 5.911 0.000 1.910
Th 11.242 0.000 6.846
Th 12.345 0.000 3.148
Bi 3.009 0.000 0.563
Bi 7.961 0.000 6.623
Bi 9.192 0.000 2.133
Bi 14.144 0.000 8.193

=====

# 2
16
Lattice="1.775 -5.803 0.000 1.775 5.803 0.000 0.000 0.000 11.936" Properties=species:S:1:pos:R:3 comment="PrPu2CrC4 (PBE, relaxed)" delta_e_f_ev_per_atom=0.04 space_group="Cmcm (63)" pbc="T T T"
Pr 1.775 4.578 8.952
Pr 1.775 -4.578 2.984
Pu 1.775 1.507 6.500
Pu 1.775 1.507 11.404
Pu 1.775 -1.507 0.532
Pu 1.775 -1.507 5.436
Cr 1.775 3.897 2.984
Cr 1.775 -3.897 8.952
C 0.000 0.000 0.000
C 0.000 0.000 5.968
C 1.775 2.804 1.517
C 1.775 2.804 4.451
C 1.775 1.034 8.952
C 1.775 -1.034 2.984
C 1.775 -2.804 7.485
C 1.775 -2.804 10.419

=====

# 3
12
Lattice="7.119 0.000 0.000 0.000 7.119 0.000 0.000 0.000 7.119" Properties=species:S:1:pos:R:3 comment="SrLiSi (PBE, relaxed)" raw_formation_energy_ev_per_atom=-0.034 space_group="F-43m (216)" pbc="T T T"
Sr 0.000 0.000 0.000
Sr 0.000 3.559 3.559
Sr 3.559 0.000 3.559
Sr 3.559 3.559 0.000
Li 0.000 0.000 3.559
Li 0.000 3.559 0.000
Li 3.559 0.000 0.000
Li 3.559 3.559 3.559
Si 1.780 1.780 1.780
Si 1.780 5.339 5.339
Si 5.339 1.780 5.339
Si 5.339 5.339 1.780

=====

# 4
4
Lattice="5.255 0.000 0.000 0.000 5.255 0.000 0.000 0.000 3.282" Properties=species:S:1:pos:R:3 comment="CdCoTe2 (PBE, relaxed)" raw_formation_energy_ev_per_atom=0.500 space_group="P4/mmm (123)" pbc="T T T"
Cd 0.000 0.000 0.000
Co 2.627 2.627 0.000
Te 0.000 2.627 1.641
Te 2.627 0.000 1.641

=====

# 5
20
Lattice="9.289 0.000 0.000 0.000 9.289 0.000 0.000 0.000 3.064" Properties=species:S:1:pos:R:3 comment="Be2Nb2SiRu5 (PBE, relaxed)" raw_formation_energy_ev_per_atom=-0.467 space_group="P4/mbm (127)" pbc="T T T"
Be 1.165 3.480 0.000
Be 3.480 8.125 0.000
Be 5.809 1.165 0.000
Be 8.125 5.809 0.000
Nb 1.610 6.254 0.000
Nb 3.035 1.610 0.000
Nb 6.254 7.679 0.000
Nb 7.679 3.035 0.000
Si 0.000 0.000 0.000
Si 4.645 4.645 0.000
Ru 0.000 4.645 1.532
Ru 0.636 1.894 1.532
Ru 1.894 8.654 1.532
Ru 2.750 4.009 1.532
Ru 4.009 6.539 1.532
Ru 4.645 0.000 1.532
Ru 5.280 2.750 1.532
Ru 6.539 5.280 1.532
Ru 7.395 0.636 1.532
Ru 8.654 7.395 1.532

=====

# 6
16
Lattice="5.059 0.000 0.000 0.000 5.059 0.000 0.000 0.000 20.244" Properties=species:S:1:pos:R:3 comment="Sm3Y12Er (PBE, relaxed)" delta_e_f_ev_per_atom=0.02 space_group="P4/mmm (123)" pbc="T T T"
Sm 0.000 0.000 0.000
Sm 0.000 0.000 5.076
Sm 0.000 0.000 15.168
Y 0.000 2.529 2.543
Y 0.000 2.529 7.620
Y 0.000 2.529 12.624
Y 0.000 2.529 17.702
Y 2.529 0.000 2.543
Y 2.529 0.000 7.620
Y 2.529 0.000 12.624
Y 2.529 0.000 17.702
Y 2.529 2.529 0.000
Y 2.529 2.529 5.086
Y 2.529 2.529 10.122
Y 2.529 2.529 15.159
Er 0.000 0.000 10.122

=====

# 7
10
Lattice="2.226 -6.160 0.000 2.226 6.160 0.000 0.000 0.000 12.003" Properties=species:S:1:pos:R:3 comment="Ac2CeGe2 (PBE, relaxed)" delta_e_f_ev_per_atom=-0.54 space_group="Cmc2_1 (36)" de_polymorph_ev_per_atom=0.000 pbc="T T T"
Ac 2.226 5.260 6.002
Ac 2.226 1.989 8.288
Ac 2.226 -1.989 2.287
Ac 2.226 -5.260 0.000
Ce 2.226 1.772 4.146
Ce 2.226 -1.772 10.148
Ge 2.226 5.951 9.031
Ge 2.226 3.338 11.937
Ge 2.226 -3.338 5.935
Ge 2.226 -5.951 3.029

=====

# 8
20
Lattice="7.972 -7.070 0.000 7.972 7.070 0.000 -1.954 0.000 6.642" Properties=species:S:1:pos:R:3 comment="KSi2Te6Au (PBE, relaxed)" raw_formation_energy_ev_per_atom=-0.147 space_group="C2/c (15)" pbc="T T T"
K 6.506 5.064 4.981
K 7.483 -5.064 1.660
Si 3.041 0.985 5.551
Si 4.018 -0.985 2.230
Si 9.971 0.985 4.412
Si 10.948 -0.985 1.091
Te 0.643 1.181 4.970
Te 3.733 3.364 6.442
Te 1.620 -1.181 1.649
Te 4.724 1.014 3.644
Te 9.279 3.364 3.521
Te 5.701 -1.014 0.323
Te 8.288 1.014 6.319
Te 4.711 -3.364 3.121
Te 9.265 -1.014 2.998
Te 12.369 1.181 4.993
Te 10.256 -3.364 0.200
Te 13.346 -1.181 1.672
Au 7.483 2.950 1.660
Au 6.506 -2.950 4.981

=====

Calculated V, 35.09; 15.37; 30.06; 22.66; 13.22; 32.38; 32.92; 37.43 Å³ per atom (same order as the records).
Calculated raw total energy, -5.9357; -9.9556; -3.0403; -3.0763; -8.4069; -5.9955; -5.2185; -3.5543 eV per atom (same order as the records).